A plane-wave DFT calculation with PBEsol was carried out for Hf2NiN after structural relaxation.

Uncorrected formation energy in eV/atom: -1.19
Space group: Cmcm
Crystal system: orthorhombic

Lattice parameters (Å, degrees): 8.0070 8.0070 4.3887 90.00 90.00 157.26
Last column: nearest neighbours and their distance in Å.
Sites, in units of the cell vectors:
Hf1 0.0904 0.9096 0.7500  2 N 2.29
Hf2 0.2952 0.7048 0.7500  4 N 2.20-2.21
Hf3 0.7048 0.2952 0.2500  4 N 2.20-2.21
Hf4 0.9096 0.0904 0.2500  2 N 2.29
Ni1 0.4595 0.5405 0.7500  2 Ni 2.54, 7 Hf 2.58-2.81
Ni2 0.5405 0.4595 0.2500  2 Ni 2.54, 7 Hf 2.58-2.81
N1 0.3035 0.6965 0.2500  6 Hf 2.20-2.29
N2 0.6965 0.3035 0.7500  6 Hf 2.20-2.29

---

A plane-wave DFT calculation with PBEsol was carried out for Hf3NiN after structural relaxation.

Uncorrected formation energy in eV/atom: -0.84
Space group: Pm-3m
Crystal system: cubic

Lattice parameters (Å, degrees): 4.2949 4.2949 4.2949 90.00 90.00 90.00
Last column: nearest neighbours and their distance in Å.
Sites, in units of the cell vectors:
Hf1 0.0000 0.0000 0.5000  2 N 2.15
Hf2 0.0000 0.5000 0.0000  2 N 2.15
Hf3 0.5000 0.0000 0.0000  2 N 2.15
Ni1 0.5000 0.5000 0.5000  12 Hf 3.04
N1 0.0000 0.0000 0.0000  6 Hf 2.15

---

A plane-wave DFT calculation with PBEsol was carried out for Hf5N5O2 after structural relaxation.

Uncorrected formation energy in eV/atom: -2.26
Energy relative to the lowest polymorph listed for this composition in eV/atom: 0.021
Space group: Cm
Crystal system: monoclinic

Lattice parameters (Å, degrees): 5.3504 5.3504 9.0635 105.47 105.47 33.06
Last column: nearest neighbours and their distance in Å.
Sites, in units of the cell vectors:
Hf1 0.0000 0.0000 0.0000  1 O 2.14, 5 N 2.16-2.19
Hf2 0.1923 0.1923 0.7855  2 O 2.17, 4 N 2.26-2.27
Hf3 0.5845 0.5845 0.3816  4 N 2.13-2.29, 2 O 2.32
Hf4 0.7785 0.7785 0.1618  6 N 2.08-2.26
Hf5 0.9002 0.9002 0.5759  3 N 2.04-2.14, 3 O 2.15-2.22
N1 0.1488 0.1488 0.2264  5 Hf 2.19-2.29
N2 0.3768 0.3768 0.0632  4 Hf 2.15-2.16
N3 0.5526 0.5526 0.6358  4 Hf 2.14-2.27
N4 0.6214 0.6214 0.9305  5 Hf 2.17-2.26
N5 0.9354 0.9354 0.3652  4 Hf 2.04-2.13
O1 0.2364 0.2364 0.5300  5 Hf 2.22-2.48
O2 0.8433 0.8433 0.7866  4 Hf 2.14-2.17

---

A plane-wave DFT calculation with PBEsol was carried out for Hf2N2O after structural relaxation.

Uncorrected formation energy in eV/atom: -2.29
Space group: P2_1/m
Crystal system: monoclinic

Lattice parameters (Å, degrees): 4.2507 3.3960 8.5401 90.00 100.80 90.00
Last column: nearest neighbours and their distance in Å.
Sites, in units of the cell vectors:
Hf1 0.1201 0.2500 0.1718  3 O 1.99-2.17, 1 N 2.16
Hf2 0.2905 0.2500 0.6060  4 N 2.08-2.13
Hf3 0.7095 0.7500 0.3940  4 N 2.08-2.13
Hf4 0.8799 0.7500 0.8282  3 O 1.99-2.17, 1 N 2.16
N1 0.2140 0.7500 0.4024  2 Hf 2.12-2.13
N2 0.3341 0.7500 0.7499  4 Hf 2.08-2.29
N3 0.6659 0.2500 0.2501  4 Hf 2.08-2.29
N4 0.7860 0.2500 0.5976  2 Hf 2.12-2.13
O1 0.1876 0.7500 0.0611  3 Hf 1.99-2.17
O2 0.8124 0.2500 0.9389  3 Hf 1.99-2.17

---

A plane-wave DFT calculation with PBEsol was carried out for Hf2N2O after structural relaxation.

Uncorrected formation energy in eV/atom: -2.26
Space group: P-3m1
Crystal system: trigonal

Lattice parameters (Å, degrees): 6.3648 6.3648 15.5750 90.00 90.00 120.00
Last column: nearest neighbours and their distance in Å.
Sites, in units of the cell vectors:
Hf1 0.0000 0.0000 0.0000  6 N 2.18
Hf2 0.0000 0.0000 0.3724  4 N 2.06-2.08
Hf3 0.0000 0.0000 0.6276  4 N 2.06-2.08
Hf4 0.0000 0.5000 0.5000  2 O 2.07, 4 N 2.20
Hf5 0.1674 0.3347 0.8345  2 O 2.08, 4 N 2.16-2.20
Hf6 0.1674 0.8326 0.8345  2 O 2.08, 4 N 2.16-2.20
Hf7 0.3333 0.6667 0.0446  4 N 2.05-2.07
Hf8 0.3333 0.6667 0.6685  3 O 2.09, 3 N 2.18
Hf9 0.3347 0.1674 0.1655  2 O 2.08, 4 N 2.16-2.20
Hf10 0.5000 0.0000 0.5000  2 O 2.07, 4 N 2.20
Hf11 0.5000 0.5000 0.5000  2 O 2.07, 4 N 2.20
Hf12 0.6653 0.8326 0.8345  2 O 2.08, 4 N 2.16-2.20
Hf13 0.6667 0.3333 0.3315  3 O 2.09, 3 N 2.18
Hf14 0.6667 0.3333 0.9554  4 N 2.05-2.07
Hf15 0.8326 0.1674 0.1655  2 O 2.08, 4 N 2.16-2.20
Hf16 0.8326 0.6653 0.1655  2 O 2.08, 4 N 2.16-2.20
N1 0.0000 0.0000 0.2403  4 Hf 2.06-2.18
N2 0.0000 0.0000 0.7597  4 Hf 2.06-2.18
N3 0.1557 0.3114 0.0868  4 Hf 2.07-2.18
N4 0.1557 0.8443 0.0868  4 Hf 2.07-2.18
N5 0.1774 0.3547 0.5829  4 Hf 2.08-2.20
N6 0.1774 0.8226 0.5829  4 Hf 2.08-2.20
N7 0.3114 0.1557 0.9132  4 Hf 2.07-2.18
N8 0.3333 0.6667 0.9129  4 Hf 2.05-2.20
N9 0.3547 0.1774 0.4171  4 Hf 2.08-2.20
N10 0.6453 0.8226 0.5829  4 Hf 2.08-2.20
N11 0.6667 0.3333 0.0871  4 Hf 2.05-2.20
N12 0.6886 0.8443 0.0868  4 Hf 2.07-2.18
N13 0.8226 0.1774 0.4171  4 Hf 2.08-2.20
N14 0.8226 0.6453 0.4171  4 Hf 2.08-2.20
N15 0.8443 0.1557 0.9132  4 Hf 2.07-2.18
N16 0.8443 0.6886 0.9132  4 Hf 2.07-2.18
O1 0.0524 0.5262 0.7585  3 Hf 2.08-2.09
O2 0.3333 0.6667 0.4392  3 Hf 2.07
O3 0.4738 0.5262 0.7585  3 Hf 2.08-2.09
O4 0.4738 0.9476 0.7585  3 Hf 2.08-2.09
O5 0.5262 0.0524 0.2415  3 Hf 2.08-2.09
O6 0.5262 0.4738 0.2415  3 Hf 2.08-2.09
O7 0.6667 0.3333 0.5608  3 Hf 2.07
O8 0.9476 0.4738 0.2415  3 Hf 2.08-2.09

---

A plane-wave DFT calculation with PBEsol was carried out for Hf2N2O after structural relaxation.

Uncorrected formation energy in eV/atom: -2.27
Space group: I4_1/amd
Crystal system: tetragonal

Lattice parameters (Å, degrees): 14.2581 14.2581 14.2581 154.23 154.23 36.77
Last column: nearest neighbours and their distance in Å.
Sites, in units of the cell vectors:
Hf1 0.0000 0.0000 0.0000  2 O 2.06, 4 N 2.19
Hf2 0.0000 0.0000 0.5000  2 O 2.06, 4 N 2.19
Hf3 0.0000 0.5000 0.0000  2 O 2.06, 4 N 2.19
Hf4 0.1682 0.6675 0.5007  2 O 2.08, 4 N 2.17-2.21
Hf5 0.2067 0.4567 0.7500  4 N 2.06-2.07
Hf6 0.3333 0.3325 0.0007  2 O 2.08, 4 N 2.17-2.21
Hf7 0.3325 0.3333 0.5007  2 O 2.08, 4 N 2.17-2.21
Hf8 0.3325 0.8318 0.9993  2 O 2.08, 4 N 2.17-2.21
Hf9 0.4567 0.2067 0.2500  4 N 2.06-2.07
Hf10 0.5000 0.0000 0.5000  2 O 2.06, 4 N 2.19
Hf11 0.5433 0.7933 0.7500  4 N 2.06-2.07
Hf12 0.6675 0.1682 0.0007  2 O 2.08, 4 N 2.17-2.21
Hf13 0.6675 0.6667 0.4993  2 O 2.08, 4 N 2.17-2.21
Hf14 0.6667 0.6675 0.9993  2 O 2.08, 4 N 2.17-2.21
Hf15 0.7933 0.5433 0.2500  4 N 2.06-2.07
Hf16 0.8318 0.3325 0.4993  2 O 2.08, 4 N 2.17-2.21
N1 0.1031 0.5872 0.5159  4 Hf 2.07-2.18
N2 0.2352 0.7489 0.4862  4 Hf 2.06-2.21
N3 0.2373 0.2511 0.9862  4 Hf 2.06-2.21
N4 0.2511 0.2373 0.4862  4 Hf 2.06-2.21
N5 0.2511 0.7648 0.0138  4 Hf 2.06-2.21
N6 0.4128 0.4287 0.5159  4 Hf 2.07-2.18
N7 0.4128 0.8969 0.9841  4 Hf 2.07-2.18
N8 0.4287 0.4128 0.0159  4 Hf 2.07-2.18
N9 0.5713 0.5872 0.9841  4 Hf 2.07-2.18
N10 0.5872 0.1031 0.0159  4 Hf 2.07-2.18
N11 0.5872 0.5713 0.4841  4 Hf 2.07-2.18
N12 0.7489 0.2352 0.9862  4 Hf 2.06-2.21
N13 0.7489 0.7627 0.5138  4 Hf 2.06-2.21
N14 0.7627 0.7489 0.0138  4 Hf 2.06-2.21
N15 0.7648 0.2511 0.5138  4 Hf 2.06-2.21
N16 0.8969 0.4128 0.4841  4 Hf 2.07-2.18
O1 0.0756 0.1173 0.5417  3 Hf 2.06-2.08
O2 0.0756 0.5340 0.9583  3 Hf 2.06-2.08
O3 0.1173 0.0756 0.0417  3 Hf 2.06-2.08
O4 0.4660 0.9244 0.5417  3 Hf 2.06-2.08
O5 0.5340 0.0756 0.4583  3 Hf 2.06-2.08
O6 0.8827 0.9244 0.9583  3 Hf 2.06-2.08
O7 0.9244 0.4660 0.0417  3 Hf 2.06-2.08
O8 0.9244 0.8827 0.4583  3 Hf 2.06-2.08